(1)
DFT (GGA-PBE) results for crystalline LiTlGe at its relaxed geometry.

Structure (CIF):
```
data_LiTlGe
_cell_length_a 3.9486
_cell_length_b 4.2848
_cell_length_c 7.8026
_cell_angle_alpha 90.00
_cell_angle_beta 90.00
_cell_angle_gamma 90.00
_space_group_name_H-M_alt 'P m m 2'
_space_group_IT_number 25
loop_
_space_group_symop_operation_xyz
'x,y,z'
'-x,-y,z'
'-x,y,z'
'x,-y,z'
loop_
_atom_site_label
_atom_site_type_symbol
_atom_site_fract_x
_atom_site_fract_y
_atom_site_fract_z
Li1 Li 0.0000 0.0000 0.0000
Li2 Li 0.5000 0.0000 0.2612
Tl1 Tl 0.0000 0.5000 0.3612
Tl2 Tl 0.5000 0.0000 0.6453
Ge1 Ge 0.0000 0.5000 0.7960
Ge2 Ge 0.5000 0.5000 0.0163
```

Calculated values
Formation enthalpy at 0 K (kJ per mole of atoms): -5
Total magnetization (μB/cell): 0.00
Calculated volume (Å³/atom): 22.00


(2)
DFT (GGA-PBE) results for crystalline LiTl2Ge2 at its relaxed geometry.

Structure (CIF):
```
data_LiTl2Ge2
_cell_length_a 4.6214
_cell_length_b 4.6214
_cell_length_c 12.8905
_cell_angle_alpha 90.00
_cell_angle_beta 90.00
_cell_angle_gamma 90.00
_space_group_name_H-M_alt 'I 4/m m m'
_space_group_IT_number 139
_space_group_name_Hall '-I 4 2'
loop_
_atom_site_label
_atom_site_type_symbol
_atom_site_fract_x
_atom_site_fract_y
_atom_site_fract_z
Li1 Li 0.0000 0.0000 0.0000
Tl1 Tl 0.0000 0.5000 0.2500
Ge1 Ge 0.0000 0.0000 0.4070
```

Calculated values
Energy above the most stable polymorph in this dataset (meV per atom): 103.5
Formation enthalpy at 0 K (kJ per mole of atoms): 18
Total magnetization (μB/cell): 0.00
Calculated volume (Å³/atom): 27.53


(3)
DFT (GGA-PBE) results for crystalline LiTlGe at its relaxed geometry.

Structure (CIF):
```
data_LiTlGe
_cell_length_a 4.6616
_cell_length_b 4.6616
_cell_length_c 6.6782
_cell_angle_alpha 90.00
_cell_angle_beta 90.00
_cell_angle_gamma 90.00
_space_group_name_H-M_alt 'P 4/n m m'
_space_group_IT_number 129
loop_
_space_group_symop_operation_xyz
'x,y,z'
'-x,-y,-z'
'-y+1/2,x,z'
'y+1/2,-x,-z'
'-x+1/2,-y+1/2,z'
'x+1/2,y+1/2,-z'
'y,-x+1/2,z'
'-y,x+1/2,-z'
'x+1/2,-y,-z'
'-x+1/2,y,z'
'-y,-x,-z'
'y,x,z'
'-x,y+1/2,-z'
'x,-y+1/2,z'
'y+1/2,x+1/2,-z'
'-y+1/2,-x+1/2,z'
loop_
_atom_site_label
_atom_site_type_symbol
_atom_site_fract_x
_atom_site_fract_y
_atom_site_fract_z
Li1 Li 0.2500 0.2500 0.1738
Tl1 Tl 0.2500 0.7500 0.5000
Ge1 Ge 0.2500 0.2500 0.7757
```

Calculated values
Formation enthalpy at 0 K (kJ per mole of atoms): 10
Total magnetization (μB/cell): 0.00
Calculated volume (Å³/atom): 24.19


(4)
DFT (GGA-PBE) results for crystalline Li6TlGe2 at its relaxed geometry.

Structure (CIF):
```
data_Li6TlGe2
_cell_length_a 7.7630
_cell_length_b 7.7630
_cell_length_c 2.8673
_cell_angle_alpha 90.00
_cell_angle_beta 90.00
_cell_angle_gamma 120.00
_space_group_name_H-M_alt 'P 6/m m m'
_space_group_IT_number 191
_space_group_name_Hall '-P 6 2'
loop_
_atom_site_label
_atom_site_type_symbol
_atom_site_fract_x
_atom_site_fract_y
_atom_site_fract_z
Li1 Li 0.0000 0.3430 0.0000
Tl1 Tl 0.0000 0.0000 0.5000
Ge1 Ge 0.3333 0.6667 0.5000
```

Calculated values
Formation enthalpy at 0 K (kJ per mole of atoms): -26
Total magnetization (μB/cell): 0.00
Calculated volume (Å³/atom): 16.63


(5)
DFT (GGA-PBE) results for crystalline LiTlGe at its relaxed geometry.

Structure (CIF):
```
data_LiTlGe
_cell_length_a 4.6867
_cell_length_b 4.6867
_cell_length_c 3.4312
_cell_angle_alpha 90.00
_cell_angle_beta 90.00
_cell_angle_gamma 120.00
_space_group_name_H-M_alt 'P 3 m 1'
_space_group_IT_number 156
loop_
_space_group_symop_operation_xyz
'x,y,z'
'-y,x-y,z'
'-x+y,-x,z'
'-y,-x,z'
'-x+y,y,z'
'x,x-y,z'
loop_
_atom_site_label
_atom_site_type_symbol
_atom_site_fract_x
_atom_site_fract_y
_atom_site_fract_z
Li1 Li 0.0000 0.0000 0.0000
Tl1 Tl 0.6667 0.3333 0.3793
Ge1 Ge 0.3333 0.6667 0.7378
```

Calculated values
Formation enthalpy at 0 K (kJ per mole of atoms): 0
Total magnetization (μB/cell): 0.00
Calculated volume (Å³/atom): 21.76


(6)
DFT (GGA-PBE) results for crystalline Li7Tl3Ge at its relaxed geometry.

Structure (CIF):
```
data_Li7Tl3Ge
_cell_length_a 3.0109
_cell_length_b 18.7362
_cell_length_c 15.9182
_cell_angle_alpha 90.00
_cell_angle_beta 90.00
_cell_angle_gamma 90.00
_space_group_name_H-M_alt 'C m c m'
_space_group_IT_number 63
_space_group_name_Hall '-C 2c 2'
loop_
_atom_site_label
_atom_site_type_symbol
_atom_site_fract_x
_atom_site_fract_y
_atom_site_fract_z
Li1 Li 0.0000 0.0190 0.1038
Li2 Li 0.0000 0.1114 0.6704
Li3 Li 0.0000 0.1137 0.2500
Li4 Li 0.0000 0.2524 0.5898
Tl1 Tl 0.0000 0.2667 0.2500
Tl2 Tl 0.0000 0.3816 0.0097
Ge1 Ge 0.0000 0.4916 0.2500
```

Calculated values
Formation enthalpy at 0 K (kJ per mole of atoms): -18
Total magnetization (μB/cell): 0.00
Calculated volume (Å³/atom): 20.41


(7)
DFT (GGA-PBE) results for crystalline LiTlGe at its relaxed geometry.

Structure (CIF):
```
data_LiTlGe
_cell_length_a 13.3664
_cell_length_b 4.2787
_cell_length_c 4.6205
_cell_angle_alpha 90.00
_cell_angle_beta 91.14
_cell_angle_gamma 90.00
_space_group_name_H-M_alt 'C 1 2/m 1'
_space_group_IT_number 12
loop_
_space_group_symop_operation_xyz
'x,y,z'
'-x,-y,-z'
'-x,y,-z'
'x,-y,z'
'x+1/2,y+1/2,z'
'-x+1/2,-y+1/2,-z'
'-x+1/2,y+1/2,-z'
'x+1/2,-y+1/2,z'
loop_
_atom_site_label
_atom_site_type_symbol
_atom_site_fract_x
_atom_site_fract_y
_atom_site_fract_z
Li1 Li 0.1767 0.0000 0.4960
Tl1 Tl 0.0000 0.0000 0.0000
Tl2 Tl 0.0000 0.5000 0.5000
Ge1 Ge 0.1918 0.5000 0.9997
```

Calculated values
Formation enthalpy at 0 K (kJ per mole of atoms): -5
Total magnetization (μB/cell): 0.00
Calculated volume (Å³/atom): 22.02


(8)
DFT (GGA-PBE) results for crystalline LiTlGe at its relaxed geometry.

Structure (CIF):
```
data_LiTlGe
_cell_length_a 3.9204
_cell_length_b 5.8227
_cell_length_c 6.8391
_cell_angle_alpha 113.81
_cell_angle_beta 106.65
_cell_angle_gamma 90.04
_space_group_name_H-M_alt 'P 1'
_space_group_IT_number 1
loop_
_space_group_symop_operation_xyz
'x,y,z'
loop_
_atom_site_label
_atom_site_type_symbol
_atom_site_fract_x
_atom_site_fract_y
_atom_site_fract_z
Li1 Li 0.0000 0.0000 0.0000
Li2 Li 0.3707 0.5402 0.7412
Tl1 Tl 0.0755 0.5701 0.1544
Tl2 Tl 0.6835 0.1478 0.3662
Ge1 Ge 0.3602 0.0475 0.7190
Ge2 Ge 0.7810 0.7303 0.5612
```

Calculated values
Formation enthalpy at 0 K (kJ per mole of atoms): -5
Total magnetization (μB/cell): 0.00
Calculated volume (Å³/atom): 22.60